(1)
Density functional theory data (PBEsol) for crystalline Ba6Tb2Al4O15 at its relaxed geometry.

a b c (Å): 7.841 5.903 18.323
angles (deg): 90.00 91.58 90.00
Atoms (fractional coordinates):
Ba: 0.000 0.175 0.250
Ba: 0.000 0.825 0.750
Ba: 0.001 0.255 0.919
Ba: 0.001 0.745 0.419
Ba: 0.471 0.248 0.910
Ba: 0.471 0.752 0.410
Ba: 0.500 0.225 0.250
Ba: 0.500 0.775 0.750
Ba: 0.529 0.248 0.590
Ba: 0.529 0.752 0.090
Ba: 0.999 0.255 0.581
Ba: 0.999 0.745 0.081
Tb: 0.253 0.249 0.090
Tb: 0.253 0.751 0.590
Tb: 0.747 0.249 0.410
Tb: 0.747 0.751 0.910
Al: 0.253 0.247 0.443
Al: 0.253 0.753 0.943
Al: 0.278 0.269 0.733
Al: 0.278 0.731 0.233
Al: 0.722 0.269 0.767
Al: 0.722 0.731 0.267
Al: 0.747 0.247 0.057
Al: 0.747 0.753 0.557
O: 0.038 0.255 0.408
O: 0.038 0.745 0.908
O: 0.192 0.174 0.814
O: 0.192 0.826 0.314
O: 0.227 0.471 0.190
O: 0.227 0.529 0.690
O: 0.254 0.050 0.666
O: 0.254 0.950 0.166
O: 0.264 0.483 0.504
O: 0.264 0.517 0.004
O: 0.265 0.003 0.998
O: 0.265 0.997 0.498
O: 0.445 0.263 0.393
O: 0.445 0.737 0.893
O: 0.500 0.293 0.750
O: 0.500 0.707 0.250
O: 0.555 0.263 0.107
O: 0.555 0.737 0.607
O: 0.735 0.003 0.502
O: 0.735 0.997 0.002
O: 0.736 0.483 0.996
O: 0.736 0.517 0.496
O: 0.746 0.050 0.834
O: 0.746 0.950 0.334
O: 0.773 0.471 0.310
O: 0.773 0.529 0.810
O: 0.808 0.174 0.686
O: 0.808 0.826 0.186
O: 0.962 0.255 0.092
O: 0.962 0.745 0.592

Summary:
As for the density: 5.8 g cm⁻³. The uncorrected energy comes out at -400.834 eV/cell. As for the space group: P2/c. The calculation puts the density of states at the Fermi level at 0.00 states/eV per atom. As for the uncorrected formation energy: -3.052 eV per atom.

***

(2)
Density functional theory data (PBEsol) for crystalline Ba6Tm2Al4O15 at its relaxed geometry.

a b c (Å): 7.790 5.863 18.233
angles (deg): 90.00 91.69 90.00
Atoms (fractional coordinates):
Ba: 0.000 0.180 0.250
Ba: 0.000 0.820 0.750
Ba: 0.001 0.254 0.919
Ba: 0.001 0.746 0.419
Ba: 0.472 0.247 0.911
Ba: 0.472 0.753 0.411
Ba: 0.500 0.228 0.250
Ba: 0.500 0.772 0.750
Ba: 0.528 0.247 0.589
Ba: 0.528 0.753 0.089
Ba: 0.999 0.254 0.581
Ba: 0.999 0.746 0.081
Tm: 0.253 0.250 0.089
Tm: 0.253 0.750 0.589
Tm: 0.747 0.250 0.411
Tm: 0.747 0.750 0.911
Al: 0.253 0.247 0.444
Al: 0.253 0.753 0.944
Al: 0.277 0.265 0.731
Al: 0.277 0.735 0.231
Al: 0.723 0.265 0.769
Al: 0.723 0.735 0.269
Al: 0.747 0.247 0.056
Al: 0.747 0.753 0.556
O: 0.036 0.253 0.409
O: 0.036 0.747 0.909
O: 0.190 0.174 0.813
O: 0.190 0.826 0.313
O: 0.228 0.476 0.186
O: 0.228 0.524 0.686
O: 0.255 0.041 0.666
O: 0.255 0.959 0.166
O: 0.264 0.487 0.505
O: 0.264 0.513 0.005
O: 0.265 0.003 0.000
O: 0.265 0.997 0.500
O: 0.448 0.262 0.395
O: 0.448 0.738 0.895
O: 0.500 0.291 0.750
O: 0.500 0.709 0.250
O: 0.552 0.262 0.105
O: 0.552 0.738 0.605
O: 0.735 0.003 0.500
O: 0.735 0.997 0.000
O: 0.736 0.487 0.995
O: 0.736 0.513 0.495
O: 0.745 0.041 0.834
O: 0.745 0.959 0.334
O: 0.772 0.476 0.314
O: 0.772 0.524 0.814
O: 0.810 0.174 0.687
O: 0.810 0.826 0.187
O: 0.964 0.253 0.091
O: 0.964 0.747 0.591

Summary:
As for the density: 6.0 g cm⁻³. The uncorrected energy comes out at -401.798 eV/cell. As for the space group: P2/c. The calculation puts the density of states at the Fermi level at 0.00 states/eV per atom. As for the uncorrected formation energy: -3.078 eV per atom.

***

(3)
Density functional theory data (PBEsol) for crystalline Ba5Y2ZrAl2O13 at its relaxed geometry.

a b c (Å): 5.954 5.954 24.999
angles (deg): 90.00 90.00 120.00
Atoms (fractional coordinates):
Ba: 0.000 0.000 0.137
Ba: 0.000 0.000 0.363
Ba: 0.000 0.000 0.637
Ba: 0.000 0.000 0.863
Ba: 0.333 0.667 0.041
Ba: 0.333 0.667 0.459
Ba: 0.333 0.667 0.750
Ba: 0.667 0.333 0.250
Ba: 0.667 0.333 0.541
Ba: 0.667 0.333 0.959
Y: 0.333 0.667 0.604
Y: 0.333 0.667 0.896
Y: 0.667 0.333 0.104
Y: 0.667 0.333 0.396
Zr: 0.000 0.000 0.000
Zr: 0.000 0.000 0.500
Al: 0.333 0.667 0.181
Al: 0.333 0.667 0.319
Al: 0.667 0.333 0.681
Al: 0.667 0.333 0.819
O: 0.009 0.505 0.158
O: 0.009 0.505 0.342
O: 0.162 0.325 0.550
O: 0.162 0.325 0.950
O: 0.162 0.838 0.550
O: 0.162 0.838 0.950
O: 0.325 0.162 0.050
O: 0.325 0.162 0.450
O: 0.333 0.667 0.250
O: 0.495 0.505 0.158
O: 0.495 0.505 0.342
O: 0.495 0.991 0.158
O: 0.495 0.991 0.342
O: 0.505 0.009 0.658
O: 0.505 0.009 0.842
O: 0.505 0.495 0.658
O: 0.505 0.495 0.842
O: 0.667 0.333 0.750
O: 0.675 0.838 0.550
O: 0.675 0.838 0.950
O: 0.838 0.162 0.050
O: 0.838 0.162 0.450
O: 0.838 0.675 0.050
O: 0.838 0.675 0.450
O: 0.991 0.495 0.658
O: 0.991 0.495 0.842

Summary:
As for the density: 5.3 g cm⁻³. The uncorrected energy comes out at -363.653 eV/cell. As for the space group: P6_3/mmc. The calculation puts the density of states at the Fermi level at 0.00 states/eV per atom. As for the uncorrected formation energy: -3.127 eV per atom.

***

(4)
Density functional theory data (PBEsol) for crystalline BaAl2Os at its relaxed geometry.

a b c (Å): 3.078 4.057 7.260
angles (deg): 90.00 99.08 90.00
Atoms (fractional coordinates):
Ba: 0.000 0.000 0.000
Al: 0.297 0.000 0.435
Al: 0.381 0.500 0.682
Os: 0.777 0.500 0.406

Summary:
As for the density: 7.1 g cm⁻³. The calculation puts the calculated formation energy at 0.3 eV per formula unit. The uncorrected energy comes out at -22.211 eV/cell. As for the space group: Pm. The calculation puts the density of states at the Fermi level at 0.61 states/eV per atom.

***

(5)
Density functional theory data (PBEsol) for crystalline BaAl2Os at its relaxed geometry.

a b c (Å): 9.748 9.748 9.748
angles (deg): 18.59 18.59 18.59
Atoms (fractional coordinates):
Ba: 0.000 0.000 0.000
Al: 0.229 0.229 0.229
Al: 0.771 0.771 0.771
Os: 0.500 0.500 0.500

Summary:
As for the density: 7.7 g cm⁻³. The calculation puts the calculated formation energy at 1.2 eV per formula unit. The uncorrected energy comes out at -21.387 eV/cell. As for the space group: R-3m. The calculation puts the density of states at the Fermi level at 0.55 states/eV per atom.

***

(6)
Density functional theory data (PBEsol) for crystalline Ba2AlOs at its relaxed geometry.

a b c (Å): 4.358 4.358 9.029
angles (deg): 103.34 103.34 59.96
Atoms (fractional coordinates):
Ba: 0.000 0.000 0.000
Ba: 0.159 0.159 0.500
Al: 0.746 0.746 0.250
Os: 0.413 0.413 0.250

Summary:
As for the density: 5.7 g cm⁻³. The calculation puts the calculated formation energy at 0.2 eV per formula unit. The uncorrected energy comes out at -20.388 eV/cell. As for the space group: Cm. The calculation puts the density of states at the Fermi level at 0.86 states/eV per atom.